Record 1
The following is a DFT calculation (GGA-PBE) of a relaxed Pm3Tl2Au2 crystal.

a b c (Å): 4.565 3.616 11.544
angles (deg): 90.00 78.60 90.00
Each line ends with the local moment (μB).
Sites, in units of the cell vectors:
Pm1 0.000 0.000 0.000  0.18
Pm2 0.833 0.000 0.334  0.03
Au1 0.713 0.500 0.573  0.00
Pm3 0.167 0.000 0.666  0.03
Au2 0.287 0.500 0.427  0.00
Tl1 0.421 0.500 0.159  0.00
Tl2 0.579 0.500 0.841  0.00

Calculated values
- crystal system = orthorhombic
- density (kg/m³) = 11003
- formation enthalpy at 0 K (kJ/mol of formula units) = -390

***

Record 2
The following is a DFT calculation (GGA-PBE) of a relaxed Pm6TlAu crystal.

a b c (Å): 7.077 7.077 7.079
angles (deg): 103.67 103.67 120.11
Each line ends with the local moment (μB).
Sites, in units of the cell vectors:
Pm1 0.264 0.264 0.736  0.18
Pm2 0.475 0.064 0.253  0.00
Pm3 0.936 0.525 0.747  0.00
Pm4 0.064 0.475 0.253  0.00
Au1 0.500 0.500 0.500  0.01
Pm5 0.736 0.736 0.264  0.18
Pm6 0.525 0.936 0.747  0.00
Tl1 0.000 0.000 0.000  0.01

Calculated values
- crystal system = monoclinic
- density (kg/m³) = 7814
- formation enthalpy at 0 K (kJ/mol of formula units) = -33

***

Record 3
The following is a DFT calculation (GGA-PBE) of a relaxed Pm4Tl2Au crystal.

a b c (Å): 3.789 7.144 9.148
angles (deg): 113.97 101.95 90.00
Sites, in units of the cell vectors:
Pm1 0.912 0.264 0.824
Au1 0.000 0.000 0.000
Pm2 0.622 0.312 0.245
Pm3 0.378 0.688 0.755
Pm4 0.088 0.736 0.176
Tl1 0.252 0.198 0.504
Tl2 0.748 0.802 0.496

Calculated values
- crystal system = monoclinic
- density (kg/m³) = 8935
- formation enthalpy at 0 K (kJ/mol of formula units) = -203